(1)
Tl2ReW (GGA-PBE, relaxed); distance to the lowest polymorph of the same formula = 20.09 kcal/mol of atoms; energy relative to the elements = 1412.3 meV/atom
1.0
0.000 3.343 3.343
3.343 0.000 3.343
3.343 3.343 0.000
Re Tl W
1 2 1
Direct
0.500 0.500 0.500 Re
0.250 0.250 0.250 Tl
0.750 0.750 0.750 Tl
0.000 0.000 0.000 W

(2)
Tm3Ga3Pt (GGA-PBE, relaxed); energy relative to the elements = -827.4 meV/atom
1.0
4.241 0.000 0.639
2.090 5.264 0.521
0.136 0.077 13.495
Tm Ga Pt
6 6 2
Direct
0.529 0.322 0.620 Tm
0.471 0.678 0.380 Tm
0.263 0.241 0.234 Tm
0.737 0.759 0.766 Tm
0.394 0.287 0.925 Tm
0.606 0.713 0.075 Tm
0.863 0.738 0.536 Ga
0.137 0.262 0.464 Ga
0.111 0.854 0.925 Ga
0.889 0.146 0.075 Ga
0.977 0.818 0.228 Ga
0.023 0.182 0.772 Ga
0.754 0.109 0.384 Pt
0.246 0.891 0.616 Pt

(3)
CeNd2Ga (GGA-PBE, relaxed); distance to the lowest polymorph of the same formula = 0.00 kcal/mol of atoms; energy relative to the elements = -211.1 meV/atom
1.0
-1.371 -3.931 1.990
2.638 1.085 3.960
-3.842 2.314 1.925
Nd Ga Ce
2 1 1
Direct
0.000 0.000 0.500 Nd
0.000 0.500 0.000 Nd
0.500 0.500 0.500 Ga
0.500 0.000 0.000 Ce

(4)
PuFeSi3Ir (GGA-PBE, relaxed); uncorrected formation energy = -0.3216 eV/atom
1.0
-0.877 -3.534 3.983
6.799 -2.412 -0.643
-1.710 4.978 4.040
Pu Fe Si Ir
2 2 6 2
Direct
0.750 0.256 0.513 Pu
0.250 0.744 0.487 Pu
0.250 0.047 0.094 Fe
0.750 0.953 0.906 Fe
0.250 0.233 0.465 Si
0.000 0.240 0.000 Si
0.500 0.760 0.000 Si
0.500 0.240 0.000 Si
0.000 0.760 0.000 Si
0.750 0.767 0.535 Si
0.250 0.433 0.865 Ir
0.750 0.567 0.135 Ir

(5)
Ce2PbBr (GGA-PBE, relaxed); distance to the lowest polymorph of the same formula = 0.00 kcal/mol of atoms; uncorrected formation energy = -0.7617 eV/atom
1.0
4.581 0.000 0.000
2.291 3.968 0.000
2.291 1.323 6.728
Pb Br Ce
1 1 2
Direct
0.500 0.500 0.500 Pb
0.000 0.000 0.000 Br
0.255 0.255 0.235 Ce
0.745 0.745 0.765 Ce

(6)
Ba2YPd2 (GGA-PBE, relaxed); distance to the lowest polymorph of the same formula = 12.27 kcal/mol of atoms; energy relative to the elements = 110.4 meV/atom
1.0
-4.651 -2.819 1.540
0.966 -3.812 -4.059
1.117 -6.287 2.235
Y Ba Pd
1 2 2
Direct
0.000 0.000 0.000 Y
0.342 0.342 0.316 Ba
0.658 0.658 0.684 Ba
0.750 0.250 0.500 Pd
0.250 0.750 0.500 Pd

(7)
As2Ir (GGA-PBE, relaxed); energy relative to the elements = -188.0 meV/atom
1.0
-5.922 -1.306 1.052
-5.082 -2.741 -2.133
-1.125 -5.457 2.162
As Ir
4 2
Direct
0.586 0.586 0.234 As
0.858 0.858 0.322 As
0.142 0.142 0.678 As
0.414 0.414 0.766 As
0.243 0.243 0.203 Ir
0.757 0.757 0.797 Ir

(8)
Tb6Pm2PrNd3 (GGA-PBE, relaxed); energy relative to the elements = 11.0 meV/atom
1.0
6.281 -0.001 0.008
-3.140 5.440 0.008
-1.059 -1.834 11.729
Tb Pm Pr Nd
6 2 1 3
Direct
0.917 0.583 0.750 Tb
0.750 0.750 0.250 Tb
0.083 0.417 0.250 Tb
0.583 0.917 0.750 Tb
0.250 0.250 0.750 Tb
0.417 0.083 0.250 Tb
0.333 0.667 0.000 Pm
0.667 0.333 0.000 Pm
0.000 0.000 0.000 Pr
0.167 0.833 0.500 Nd
0.833 0.167 0.500 Nd
0.500 0.500 0.500 Nd

(9)
Nb2AlBH (GGA-PBE, relaxed); DFT total energy = -6.48 eV/atom
1.0
4.031 0.000 0.000
0.000 3.752 0.000
0.000 0.000 4.031
H Nb B Al
1 2 1 1
Direct
0.000 0.000 0.000 H
0.000 0.000 0.500 Nb
0.500 0.000 0.000 Nb
0.500 0.500 0.500 B
0.000 0.500 0.000 Al

(10)
TmSiNi6B (GGA-PBE, relaxed); uncorrected formation energy = -0.2481 eV/atom
1.0
5.833 0.000 0.000
0.000 7.638 0.000
-2.916 -3.819 5.012
Tm Si Ni B
2 2 12 2
Direct
0.706 0.456 0.411 Tm
0.294 0.544 0.589 Tm
0.500 0.000 0.500 Si
0.000 0.000 0.500 Si
0.573 0.823 0.147 Ni
0.017 0.267 0.034 Ni
0.904 0.110 0.238 Ni
0.334 0.628 0.238 Ni
0.334 0.110 0.238 Ni
0.904 0.628 0.238 Ni
0.427 0.177 0.853 Ni
0.983 0.733 0.966 Ni
0.096 0.890 0.762 Ni
0.666 0.372 0.762 Ni
0.666 0.890 0.762 Ni
0.096 0.372 0.762 Ni
0.500 0.500 0.000 B
0.500 0.000 0.000 B

(11)
La3HfAg (GGA-PBE, relaxed); distance to the lowest polymorph of the same formula = 0.00 kcal/mol of atoms; energy relative to the elements = 582.6 meV/atom
1.0
5.748 0.000 0.000
0.000 5.748 0.000
0.000 0.000 5.748
Hf Ag La
1 1 3
Direct
0.000 0.000 0.000 Hf
0.500 0.500 0.500 Ag
0.000 0.500 0.000 La
0.000 0.000 0.500 La
0.500 0.000 0.000 La

(12)
BaSc2Co (GGA-PBE, relaxed); distance to the lowest polymorph of the same formula = 3.39 kcal/mol of atoms; energy relative to the elements = 181.9 meV/atom
1.0
-3.510 -5.741 -4.951
0.408 -8.066 -2.137
-0.643 6.621 5.054
Ba Co Sc
1 1 2
Direct
0.422 0.422 0.000 Ba
0.229 0.729 0.500 Co
0.106 0.106 0.000 Sc
0.743 0.243 0.500 Sc